1.
La4PrEr3S8 | GGA-PBE | optimized geometry

Structure (POSCAR):
```
La4PrEr3S8
1.0
-6.025 -4.299 3.144
-0.964 -3.840 -7.098
7.209 0.024 3.563
Er La S Pr
3 4 8 1
direct
0.500 0.500 0.500 Er
0.000 0.500 0.500 Er
0.500 0.500 0.000 Er
0.000 0.000 0.500 La
0.500 0.000 0.500 La
0.500 0.000 0.000 La
0.000 0.000 0.000 La
0.249 0.732 0.983 S
0.742 0.725 0.484 S
0.249 0.732 0.499 S
0.258 0.275 0.516 S
0.733 0.732 0.983 S
0.751 0.268 0.501 S
0.267 0.268 0.017 S
0.751 0.268 0.017 S
0.000 0.500 0.000 Pr
```

Summary:
As for the space-group type: R-3m, No. 166. The calculation puts the uncorrected formation energy at -2067 meV/atom. As for the energy: -104.27 eV for the cell shown.



2.
La3Pr2ErS6 | GGA-PBE | optimized geometry

Structure (POSCAR):
```
La3Pr2ErS6
1.0
7.091 -0.006 -0.002
-3.549 6.139 -0.002
-1.184 -2.050 6.677
La S Pr Er
3 6 2 1
direct
0.171 0.829 0.500 La
0.500 0.500 0.500 La
0.829 0.171 0.500 La
0.400 0.079 0.239 S
0.761 0.761 0.243 S
0.600 0.921 0.761 S
0.921 0.600 0.761 S
0.079 0.400 0.239 S
0.239 0.239 0.757 S
0.667 0.333 0.000 Pr
0.333 0.667 0.000 Pr
0.000 0.000 0.000 Er
```

Summary:
As for the space-group type: C2/m, No. 12. The calculation puts the uncorrected formation energy at -2087 meV/atom. As for the energy: -78.71 eV for the cell shown.



3.
La2PrErS4 | GGA-PBE | optimized geometry

Structure (POSCAR):
```
La2PrErS4
1.0
-1.335 -3.558 1.353
5.200 -0.128 4.796
-5.659 3.194 2.813
S La Er Pr
4 2 1 1
direct
0.000 0.758 0.240 S
0.500 0.233 0.232 S
0.500 0.767 0.768 S
0.000 0.242 0.760 S
0.500 0.000 0.500 La
0.000 0.500 0.500 La
0.000 0.000 0.000 Er
0.500 0.500 0.000 Pr
```

Summary:
As for the space-group type: P2/m, No. 10. The calculation puts the uncorrected formation energy at -2073 meV/atom. As for the energy: -52.29 eV for the cell shown.



4.
La2Pr3ErS6 | GGA-PBE | optimized geometry

Structure (POSCAR):
```
La2Pr3ErS6
1.0
7.082 -0.006 -0.003
-3.544 6.132 -0.003
-1.183 -2.049 6.658
S La Pr Er
6 2 3 1
direct
0.080 0.400 0.241 S
0.763 0.763 0.246 S
0.400 0.080 0.241 S
0.600 0.920 0.759 S
0.920 0.600 0.759 S
0.237 0.237 0.754 S
0.334 0.666 0.000 La
0.666 0.334 0.000 La
0.171 0.829 0.500 Pr
0.500 0.500 0.500 Pr
0.829 0.171 0.500 Pr
0.000 0.000 0.000 Er
```

Summary:
As for the space-group type: C2/m, No. 12. The calculation puts the uncorrected formation energy at -2059 meV/atom. As for the energy: -78.23 eV for the cell shown.



5.
LaPrEr2S4 | GGA-PBE | optimized geometry

Structure (POSCAR):
```
LaPrEr2S4
1.0
-1.902 3.426 0.198
-6.018 -3.433 1.601
-0.406 -0.617 6.793
S Er La Pr
4 2 1 1
direct
0.000 0.775 0.741 S
0.500 0.226 0.758 S
0.000 0.225 0.259 S
0.500 0.774 0.242 S
0.500 0.000 0.500 Er
0.000 0.000 0.000 Er
0.500 0.500 0.000 La
0.000 0.500 0.500 Pr
```

Summary:
As for the space-group type: P2/m, No. 10. The calculation puts the uncorrected formation energy at -2035 meV/atom. As for the energy: -51.62 eV for the cell shown.



6.
La3Pr4ErS8 | GGA-PBE | optimized geometry

Structure (POSCAR):
```
La3Pr4ErS8
1.0
8.202 0.000 0.000
0.000 8.189 -0.014
-4.101 -4.097 5.803
Er Pr S La
1 4 8 3
direct
0.000 0.500 0.000 Er
0.000 0.000 0.000 Pr
0.500 0.000 0.000 Pr
0.500 0.000 0.500 Pr
0.000 0.000 0.500 Pr
0.241 0.742 0.001 S
0.759 0.258 0.999 S
0.759 0.258 0.518 S
0.751 0.752 0.501 S
0.249 0.248 0.499 S
0.240 0.258 0.999 S
0.241 0.742 0.482 S
0.760 0.742 0.001 S
0.500 0.500 0.000 La
0.500 0.500 0.500 La
0.000 0.500 0.500 La
```

Summary:
As for the space-group type: R-3m, No. 166. The calculation puts the uncorrected formation energy at -2063 meV/atom. As for the energy: -104.48 eV for the cell shown.



7.
LaPrEr2Sb4 | GGA-PBE | optimized geometry

Structure (POSCAR):
```
LaPrEr2Sb4
1.0
4.481 0.000 0.000
0.000 7.732 -0.147
0.000 2.732 7.260
Sb Er La Pr
4 2 1 1
direct
0.500 0.236 0.754 Sb
0.000 0.765 0.744 Sb
0.000 0.235 0.256 Sb
0.500 0.764 0.246 Sb
0.000 0.000 0.000 Er
0.500 0.000 0.500 Er
0.500 0.500 0.000 La
0.000 0.500 0.500 Pr
```

Summary:
As for the space-group type: P2/m, No. 10. The calculation puts the uncorrected formation energy at -1158 meV/atom. As for the energy: -44.59 eV for the cell shown.



8.
LaPr2Er4Sc | GGA-PBE | optimized geometry

Structure (POSCAR):
```
LaPr2Er4Sc
1.0
9.269 -0.008 -1.775
-0.015 9.269 -1.775
-5.869 -5.874 8.324
Er Pr La Sc
8 4 2 2
direct
0.250 0.251 0.484 Er
0.249 0.250 0.016 Er
0.751 0.750 0.984 Er
0.750 0.749 0.516 Er
0.266 0.736 0.501 Er
0.764 0.234 0.999 Er
0.734 0.264 0.499 Er
0.236 0.766 0.001 Er
0.500 0.000 0.000 Pr
0.500 0.500 0.000 Pr
0.000 0.000 0.500 Pr
0.500 0.000 0.500 Pr
0.000 0.500 0.500 La
0.000 0.500 0.000 La
0.500 0.500 0.500 Sc
0.000 0.000 0.000 Sc
```

Summary:
As for the space-group type: Imma, No. 74. The formation energy comes out at 0.40 eV/atom. As for the energy: -71.79 eV for the cell shown.



9.
LaPrEr3Sc | GGA-PBE | optimized geometry

Structure (POSCAR):
```
LaPrEr3Sc
1.0
-4.602 2.013 0.279
2.543 -1.488 7.328
4.047 9.188 0.461
La Pr Sc Er
2 2 2 6
direct
0.498 0.997 0.750 La
0.502 0.003 0.250 La
0.000 0.000 0.000 Pr
0.000 0.000 0.500 Pr
0.830 0.659 0.750 Sc
0.170 0.341 0.250 Sc
0.828 0.655 0.250 Er
0.172 0.345 0.750 Er
0.670 0.341 0.999 Er
0.330 0.659 0.001 Er
0.670 0.341 0.501 Er
0.330 0.659 0.499 Er
```

Summary:
As for the space-group type: Cmcm, No. 63. The formation energy comes out at 0.05 eV/atom. As for the energy: -58.84 eV for the cell shown.



10.
La5PrEr2Sc | GGA-PBE | optimized geometry

Structure (POSCAR):
```
La5PrEr2Sc
1.0
5.446 0.000 0.000
-2.723 10.990 0.000
0.000 0.000 10.478
Pr La Sc Er
2 10 2 4
direct
0.399 0.798 0.506 Pr
0.601 0.202 0.006 Pr
0.997 0.995 0.006 La
0.719 0.438 0.201 La
0.725 0.450 0.826 La
0.281 0.562 0.701 La
0.003 0.005 0.506 La
0.275 0.550 0.326 La
0.373 0.745 0.007 La
0.499 0.997 0.255 La
0.627 0.255 0.507 La
0.501 0.003 0.755 La
0.212 0.423 0.012 Sc
0.788 0.577 0.512 Sc
0.887 0.774 0.752 Er
0.882 0.765 0.260 Er
0.118 0.235 0.760 Er
0.113 0.226 0.252 Er
```

Summary:
As for the space-group type: Cmc2_1, No. 36. The formation energy comes out at 0.13 eV/atom. As for the energy: -87.48 eV for the cell shown.